1.
DFT (PBE-GGA) results for a relaxed structure of PmGeF5.

Structure (POSCAR):
```
PmGeF5
1.0
-1.853 1.607 5.513
-1.530 -5.070 2.893
6.086 -2.163 6.259
Pm Ge F
2 2 10
direct
0.491 0.504 0.290 Pm
0.504 0.491 0.790 Pm
0.979 0.019 0.997 Ge
0.019 0.979 0.497 Ge
0.829 0.170 0.813 F
0.170 0.829 0.313 F
0.773 0.731 0.619 F
0.273 0.221 0.858 F
0.186 0.778 0.879 F
0.448 0.559 0.537 F
0.559 0.448 0.037 F
0.778 0.186 0.379 F
0.731 0.773 0.119 F
0.221 0.273 0.358 F
```

Output
crystal system = monoclinic
E_form (uncorrected) = -3.1751 eV/atom

---

2.
DFT (PBE-GGA) results for a relaxed structure of Sr3Sc2In9.

Structure (POSCAR):
```
Sr3Sc2In9
1.0
-3.531 2.118 2.553
2.760 -0.774 9.056
3.661 8.321 2.758
Sr Sc In
3 2 9
direct
0.000 0.000 0.000 Sr
0.703 0.297 0.297 Sr
0.297 0.703 0.703 Sr
0.500 0.319 0.681 Sc
0.500 0.681 0.319 Sc
0.000 0.500 0.500 In
0.659 0.978 0.704 In
0.341 0.022 0.296 In
0.659 0.704 0.978 In
0.341 0.296 0.022 In
0.865 0.850 0.421 In
0.135 0.150 0.579 In
0.865 0.421 0.850 In
0.135 0.579 0.150 In
```

Output
crystal system = orthorhombic
energy relative to the elements = -376.0 meV/atom